1.
The following is a DFT calculation (meta-GGA SCAN) of a PBEsol-optimized structure of Cu3TcP.

Calculated values
Distance to the lowest polymorph of the same formula in meV/atom: 1081
Size of the total moment in Bohr magnetons per cell: 0.0
Volume in Å³/f.u.: 91
E_form in eV per formula unit: 9.0
Space group: Pm-3m

a = 4.5006 Å, b = 4.5006 Å, c = 4.5006 Å
α = 90.00°, β = 90.00°, γ = 90.00°
Closest atoms and distances in Å follow each position.
Element x y z (fractional)
Cu 0.5000 0.0000 0.0000  2 Tc 2.25
Cu 0.0000 0.5000 0.0000  2 Tc 2.25
Tc 0.0000 0.0000 0.0000  6 Cu 2.25
Cu 0.0000 0.0000 0.5000  2 Tc 2.25
P 0.5000 0.5000 0.5000  12 Cu 3.18

2.
The following is a DFT calculation (meta-GGA SCAN) of a PBEsol-optimized structure of Ir2AuCl.

Calculated values
Distance to the lowest polymorph of the same formula in meV/atom: 0
Size of the total moment in Bohr magnetons per cell: 0.0
Volume in Å³/f.u.: 62
Uncorrected formation energy in meV/atom: 1014
Space group: F-43m

a = 4.4464 Å, b = 4.4464 Å, c = 4.4464 Å
α = 60.00°, β = 60.00°, γ = 60.00°
Closest atoms and distances in Å follow each position.
Element x y z (fractional)
Cl 0.2500 0.2500 0.2500  4 Ir 2.72, 4 Au 2.72
Au 0.5000 0.5000 0.5000  4 Cl 2.72, 4 Ir 2.72
Ir 0.7500 0.7500 0.7500  4 Ir 2.72, 4 Au 2.72
Ir 0.0000 0.0000 0.0000  4 Ir 2.72, 4 Cl 2.72

3.
The following is a DFT calculation (meta-GGA SCAN) of a PBEsol-optimized structure of TaZn2Re.

Calculated values
Distance to the lowest polymorph of the same formula in meV/atom: 0
Size of the total moment in Bohr magnetons per cell: 0.0
Volume in Å³/f.u.: 59
E_form in eV per formula unit: 0.1
Space group: P4/mmm

a = 3.7507 Å, b = 3.7507 Å, c = 4.2001 Å
α = 90.00°, β = 90.00°, γ = 90.00°
Closest atoms and distances in Å follow each position.
Element x y z (fractional)
Zn 0.5000 0.0000 0.0000  4 Zn 2.65, 4 Re 2.82, 4 Ta 2.82
Zn 0.0000 0.5000 0.0000  4 Zn 2.65, 4 Ta 2.82, 4 Re 2.82
Re 0.5000 0.5000 0.5000  4 Ta 2.65, 8 Zn 2.82
Ta 0.0000 0.0000 0.5000  4 Re 2.65, 8 Zn 2.82

4.
The following is a DFT calculation (meta-GGA SCAN) of a PBEsol-optimized structure of ZnReSb4.

Calculated values
Size of the total moment in Bohr magnetons per cell: 4.3
Volume in Å³/f.u.: 152
Uncorrected formation energy in meV/atom: 1347
Space group: F-43m

a = 5.9926 Å, b = 5.9926 Å, c = 5.9926 Å
α = 60.00°, β = 60.00°, γ = 60.00°
Closest atoms and distances in Å follow each position.
Element x y z (fractional)
Sb 0.8746 0.3751 0.3751  6 Sb 2.99-3.00
Re 0.0000 0.0000 0.0000  12 Sb 3.51, 4 Zn 3.67
Zn 0.7500 0.7500 0.7500  12 Sb 3.51, 4 Re 3.67
Sb 0.3751 0.8746 0.3751  6 Sb 2.99-3.00
Sb 0.3751 0.3751 0.8746  6 Sb 2.99-3.00
Sb 0.3751 0.3751 0.3751  6 Sb 2.99-3.00

5.
The following is a DFT calculation (meta-GGA SCAN) of a PBEsol-optimized structure of CsYMo2O8.

Calculated values
Size of the total moment in Bohr magnetons per cell: 0.0
Volume in Å³/f.u.: 188
Uncorrected formation energy in meV/atom: -2671
Space group: Pccm

a = 5.0265 Å, b = 7.9319 Å, c = 9.4514 Å
α = 90.00°, β = 90.00°, γ = 90.00°
Closest atoms and distances in Å follow each position.
Element x y z (fractional)
O 0.3831 0.0000 0.3588  1 Mo 1.72
O 0.2601 0.3231 0.1876  1 Mo 1.78
O 0.2601 0.6769 0.1876  1 Mo 1.78
Mo 0.4767 0.0000 0.8068  4 O 1.72-1.84
O 0.7399 0.8231 0.1876  1 Mo 1.78
O 0.7487 0.5000 0.0622  1 Mo 1.84
Y 0.0000 0.7500 0.0000  8 O 2.28-2.42
Cs 0.0000 0.2500 0.5000  8 O 3.07-3.28
Mo 0.5233 0.5000 0.8068  4 O 1.72-1.84
O 0.7399 0.3231 0.8124  1 Mo 1.78
O 0.2601 0.1769 0.8124  1 Mo 1.78
O 0.7487 0.0000 0.9378  1 Mo 1.84
O 0.3831 0.5000 0.6412  1 Mo 1.72
O 0.2513 0.5000 0.9378  1 Mo 1.84
Cs 0.0000 0.7500 0.5000  8 O 3.07-3.28
O 0.2601 0.8231 0.8124  1 Mo 1.78
Mo 0.5233 0.0000 0.1932  4 O 1.72-1.84
Y 0.0000 0.2500 0.0000  8 O 2.28-2.42
O 0.2513 0.0000 0.0622  1 Mo 1.84
O 0.6169 0.5000 0.3588  1 Mo 1.72
Mo 0.4767 0.5000 0.1932  4 O 1.72-1.84
O 0.7399 0.6769 0.8124  1 Mo 1.78
O 0.6169 0.0000 0.6412  1 Mo 1.72
O 0.7399 0.1769 0.1876  1 Mo 1.78

6.
The following is a DFT calculation (meta-GGA SCAN) of a PBEsol-optimized structure of TaCo2HgI.

Calculated values
Size of the total moment in Bohr magnetons per cell: 2.0
Volume in Å³/f.u.: 101
Uncorrected formation energy in meV/atom: 1553
Space group: P4/mmm

a = 4.4669 Å, b = 4.4669 Å, c = 5.0706 Å
α = 90.00°, β = 90.00°, γ = 90.00°
Closest atoms and distances in Å follow each position.
Element x y z (fractional)
Hg 0.5000 0.5000 0.5000  4 Ta 3.16, 8 Co 3.38
Ta 0.0000 0.0000 0.5000  2 I 2.54
Co 0.0000 0.5000 0.0000  2 I 2.23
I 0.0000 0.0000 0.0000  4 Co 2.23
Co 0.5000 0.0000 0.0000  2 I 2.23

7.
The following is a DFT calculation (meta-GGA SCAN) of a PBEsol-optimized structure of BeTePb2.

Calculated values
Size of the total moment in Bohr magnetons per cell: 0.0
Volume in Å³/f.u.: 104
Uncorrected formation energy in meV/atom: 582
Space group: Fm-3m

a = 5.2845 Å, b = 5.2845 Å, c = 5.2845 Å
α = 60.00°, β = 60.00°, γ = 60.00°
Closest atoms and distances in Å follow each position.
Element x y z (fractional)
Te 0.5000 0.5000 0.5000  8 Pb 3.24
Pb 0.2500 0.2500 0.2500  4 Be 3.24, 4 Te 3.24
Be 0.0000 0.0000 0.0000  8 Pb 3.24
Pb 0.7500 0.7500 0.7500  4 Te 3.24, 4 Be 3.24

8.
The following is a DFT calculation (meta-GGA SCAN) of a PBEsol-optimized structure of ScAgRu2.

Calculated values
Distance to the lowest polymorph of the same formula in meV/atom: 0
Size of the total moment in Bohr magnetons per cell: 2.1
Volume in Å³/f.u.: 62
E_form in eV per formula unit: 0.5
Space group: I4/mmm

a = 3.9049 Å, b = 3.9049 Å, c = 4.9000 Å
α = 113.48°, β = 113.48°, γ = 90.00°
Closest atoms and distances in Å follow each position.
Element x y z (fractional)
Sc 0.5000 0.5000 0.0000  4 Ag 2.76, 8 Ru 2.81
Ru 0.7500 0.2500 0.5000  4 Ru 2.76, 4 Sc 2.81, 4 Ag 2.81
Ru 0.2500 0.7500 0.5000  4 Ru 2.76, 4 Ag 2.81, 4 Sc 2.81
Ag 0.0000 0.0000 0.0000  4 Sc 2.76, 8 Ru 2.81

9.
The following is a DFT calculation (meta-GGA SCAN) of a PBEsol-optimized structure of LiInPt2.

Calculated values
Size of the total moment in Bohr magnetons per cell: 0.0
Volume in Å³/f.u.: 61
E_form in eV per formula unit: -2.7
Space group: P4/mmm

a = 3.7802 Å, b = 4.0178 Å, c = 4.0178 Å
α = 90.00°, β = 90.00°, γ = 90.00°
Closest atoms and distances in Å follow each position.
Element x y z (fractional)
Pt 0.0000 0.0000 0.5000  4 In 2.76, 4 Li 2.76, 4 Pt 2.84
Pt 0.0000 0.5000 0.0000  4 In 2.76, 4 Li 2.76, 4 Pt 2.84
Li 0.5000 0.0000 0.0000  8 Pt 2.76, 4 In 2.84
In 0.5000 0.5000 0.5000  8 Pt 2.76, 4 Li 2.84

10.
The following is a DFT calculation (meta-GGA SCAN) of a PBEsol-optimized structure of KLiCdS2.

Calculated values
Size of the total moment in Bohr magnetons per cell: 0.0
Volume in Å³/f.u.: 143
Uncorrected formation energy in meV/atom: -168
Space group: P4/mmm

a = 5.1589 Å, b = 5.1589 Å, c = 5.3581 Å
α = 90.00°, β = 90.00°, γ = 90.00°
Closest atoms and distances in Å follow each position.
Element x y z (fractional)
S 0.0000 0.5000 0.0000  2 Cd 2.58
K 0.0000 0.0000 0.5000  2 Cd 2.68
Cd 0.0000 0.0000 0.0000  4 S 2.58, 2 K 2.68
S 0.5000 0.0000 0.0000  2 Cd 2.58
Li 0.5000 0.5000 0.5000  4 K 3.65, 8 S 3.72

11.
The following is a DFT calculation (meta-GGA SCAN) of a PBEsol-optimized structure of Re2Ru2Rh.

Calculated values
Size of the total moment in Bohr magnetons per cell: 0.0
Volume in Å³/f.u.: 78
E_form in eV per formula unit: 3.1
Space group: I4/mmm

a = 3.6794 Å, b = 3.6794 Å, c = 6.3499 Å
α = 106.84°, β = 106.84°, γ = 90.00°
Closest atoms and distances in Å follow each position.
Element x y z (fractional)
Re 0.6024 0.6024 0.2049  1 Re 2.37, 4 Ru 2.51
Re 0.3976 0.3976 0.7951  1 Re 2.37, 4 Ru 2.51
Ru 0.7500 0.2500 0.5000  4 Re 2.51, 4 Ru 2.60
Ru 0.2500 0.7500 0.5000  4 Re 2.51, 4 Ru 2.60
Rh 0.0000 0.0000 0.0000  8 Re 2.86

12.
The following is a DFT calculation (meta-GGA SCAN) of a PBEsol-optimized structure of LaNiAs2.

Calculated values
Size of the total moment in Bohr magnetons per cell: 0.0
Volume in Å³/f.u.: 74
E_form in eV per formula unit: -1.3
Space group: P4/mmm

a = 3.3343 Å, b = 3.3343 Å, c = 6.6330 Å
α = 90.00°, β = 90.00°, γ = 90.00°
Closest atoms and distances in Å follow each position.
Element x y z (fractional)
As 0.0000 0.0000 0.6854  1 As 2.46, 4 Ni 2.66
Ni 0.5000 0.5000 0.5000  8 As 2.66
La 0.5000 0.5000 0.0000  8 As 3.15, 2 Ni 3.32, 4 La 3.33
As 0.0000 0.0000 0.3146  1 As 2.46, 4 Ni 2.66